Here is an optimized crystal structure of K3Tl3Pt2 from the Alexandria database. Energies are from PBE.

```
data_K3Tl3Pt2
_chemical_formula_sum 'K12 Tl12 Pt8'
_symmetry_space_group_name_H-M 'P 1'
_symmetry_Int_Tables_number 1
_cell_length_a 6.5915
_cell_length_b 9.0345
_cell_length_c 16.7013
_cell_angle_alpha 90.00
_cell_angle_beta 90.00
_cell_angle_gamma 90.00
loop_
_symmetry_equiv_pos_as_xyz
'x,y,z'
loop_
_atom_site_label
_atom_site_fract_x
_atom_site_fract_y
_atom_site_fract_z
K1 0.1035 0.4646 0.3907
K2 0.6035 0.0354 0.6093
K3 0.8965 0.5354 0.8907
K4 0.3965 0.9646 0.1093
K5 0.8965 0.5354 0.6093
K6 0.3965 0.9646 0.3907
K7 0.1035 0.4646 0.1093
K8 0.6035 0.0354 0.8907
K9 0.6068 0.3039 0.2500
K10 0.1068 0.1961 0.7500
K11 0.3932 0.6961 0.7500
K12 0.8932 0.8039 0.2500
Tl1 0.0753 0.1583 0.2500
Tl2 0.5753 0.3417 0.7500
Tl3 0.9247 0.8417 0.7500
Tl4 0.4247 0.6583 0.2500
Tl5 0.6125 0.3274 0.4598
Tl6 0.1124 0.1726 0.5402
Tl7 0.3876 0.6726 0.9598
Tl8 0.8876 0.8274 0.0402
Tl9 0.3876 0.6726 0.5402
Tl10 0.8876 0.8274 0.4598
Tl11 0.6125 0.3274 0.0402
Tl12 0.1124 0.1726 0.9598
Pt1 0.8911 0.1187 0.3983
Pt2 0.3911 0.3813 0.6017
Pt3 0.1089 0.8813 0.8983
Pt4 0.6089 0.6187 0.1017
Pt5 0.1089 0.8813 0.6017
Pt6 0.6089 0.6187 0.3983
Pt7 0.8911 0.1187 0.1017
Pt8 0.3911 0.3813 0.8983
```

Results
The value obtained for the spin magnetization is 0.00 Bohr magnetons per cell. Its space group is No. 62. The calculation puts the total energy at -3.00 eV per atom. For the formation energy, the calculation gives -0.188 eV per atom. Its energy above the lowest structure with this stoichiometry is 0.004 eV per atom.

***

Here is an optimized crystal structure of KTl6Pt6 from the Alexandria database. Energies are from PBE.

```
data_KTl6Pt6
_chemical_formula_sum 'K1 Tl6 Pt6'
_symmetry_space_group_name_H-M 'P 1'
_symmetry_Int_Tables_number 1
_cell_length_a 5.6832
_cell_length_b 7.5223
_cell_length_c 7.5223
_cell_angle_alpha 81.13
_cell_angle_beta 67.81
_cell_angle_gamma 67.81
loop_
_symmetry_equiv_pos_as_xyz
'x,y,z'
loop_
_atom_site_label
_atom_site_fract_x
_atom_site_fract_y
_atom_site_fract_z
K1 0.0000 0.0000 0.0000
Tl1 0.3423 0.6577 0.6577
Tl2 0.6577 0.3423 0.3423
Tl3 0.0000 0.3310 0.6690
Tl4 0.0000 0.6690 0.3310
Tl5 0.3240 0.1760 0.1760
Tl6 0.6760 0.8240 0.8240
Pt1 0.0000 0.5000 0.0000
Pt2 0.5000 0.5000 0.0000
Pt3 0.0000 0.0000 0.5000
Pt4 0.5000 0.0000 0.5000
Pt5 0.5000 0.7671 0.2329
Pt6 0.5000 0.2329 0.7671
```

Results
The value obtained for the spin magnetization is 0.00 Bohr magnetons per cell. Its space group is No. 71. The calculation puts the total energy at -4.08 eV per atom. For the formation energy, the calculation gives -0.119 eV per atom.

***

Here is an optimized crystal structure of KTl2Pt from the Alexandria database. Energies are from PBE.

```
data_KTl2Pt
_chemical_formula_sum 'K1 Tl2 Pt1'
_symmetry_space_group_name_H-M 'P 1'
_symmetry_Int_Tables_number 1
_cell_length_a 6.0821
_cell_length_b 6.0821
_cell_length_c 6.0821
_cell_angle_alpha 139.31
_cell_angle_beta 128.20
_cell_angle_gamma 67.87
loop_
_symmetry_equiv_pos_as_xyz
'x,y,z'
loop_
_atom_site_label
_atom_site_fract_x
_atom_site_fract_y
_atom_site_fract_z
K1 0.4783 0.4783 0.0000
Pt1 0.2154 0.7154 0.5000
Tl1 0.0402 0.0402 0.0000
Tl2 0.7661 0.2661 0.5000
```

Results
The value obtained for the spin magnetization is 0.00 Bohr magnetons per cell. Its space group is No. 44. The calculation puts the total energy at -2.92 eV per atom. For the formation energy, the calculation gives 0.047 eV per atom.

***

Here is an optimized crystal structure of KTl2Pt from the Alexandria database. Energies are from PBE.

```
data_KTl2Pt
_chemical_formula_sum 'K1 Tl2 Pt1'
_symmetry_space_group_name_H-M 'P 1'
_symmetry_Int_Tables_number 1
_cell_length_a 3.8021
_cell_length_b 3.8297
_cell_length_c 8.0458
_cell_angle_alpha 90.00
_cell_angle_beta 90.00
_cell_angle_gamma 90.00
loop_
_symmetry_equiv_pos_as_xyz
'x,y,z'
loop_
_atom_site_label
_atom_site_fract_x
_atom_site_fract_y
_atom_site_fract_z
K1 0.0000 0.0000 0.5281
Pt1 0.5000 0.5000 0.8337
Tl1 0.0000 0.0000 0.9398
Tl2 0.5000 0.5000 0.1985
```

Results
The value obtained for the spin magnetization is 0.00 Bohr magnetons per cell. Its space group is No. 25. The calculation puts the total energy at -3.01 eV per atom. For the formation energy, the calculation gives -0.040 eV per atom.

***

Here is an optimized crystal structure of K3Tl5Pt2 from the Alexandria database. Energies are from PBE.

```
data_K3Tl5Pt2
_chemical_formula_sum 'K6 Tl10 Pt4'
_symmetry_space_group_name_H-M 'P 1'
_symmetry_Int_Tables_number 1
_cell_length_a 8.2916
_cell_length_b 10.0731
_cell_length_c 10.0731
_cell_angle_alpha 65.15
_cell_angle_beta 65.70
_cell_angle_gamma 65.70
loop_
_symmetry_equiv_pos_as_xyz
'x,y,z'
loop_
_atom_site_label
_atom_site_fract_x
_atom_site_fract_y
_atom_site_fract_z
K1 0.2500 0.0000 0.0000
K2 0.7500 0.0000 0.0000
K3 0.3502 0.3908 0.9089
K4 0.6498 0.6092 0.0911
K5 0.8502 0.9089 0.3908
K6 0.1498 0.0911 0.6092
Tl1 0.2500 0.5000 0.5000
Tl2 0.7500 0.5000 0.5000
Tl3 0.5204 0.7296 0.7296
Tl4 0.9796 0.2704 0.2704
Tl5 0.4796 0.2704 0.2704
Tl6 0.0204 0.7296 0.7296
Tl7 0.0964 0.5886 0.2187
Tl8 0.9036 0.4114 0.7813
Tl9 0.5964 0.2187 0.5886
Tl10 0.4036 0.7813 0.4114
Pt1 0.1695 0.7436 0.9175
Pt2 0.8305 0.2564 0.0825
Pt3 0.6695 0.9175 0.7436
Pt4 0.3305 0.0825 0.2564
```

Results
The value obtained for the spin magnetization is 0.00 Bohr magnetons per cell. Its space group is No. 72. The calculation puts the total energy at -2.84 eV per atom. For the formation energy, the calculation gives -0.115 eV per atom. Its energy above the lowest structure with this stoichiometry is 0.039 eV per atom.

***

Here is an optimized crystal structure of K5Tl6Pt from the Alexandria database. Energies are from PBE.

```
data_K5Tl6Pt
_chemical_formula_sum 'K5 Tl6 Pt1'
_symmetry_space_group_name_H-M 'P 1'
_symmetry_Int_Tables_number 1
_cell_length_a 9.3857
_cell_length_b 6.9482
_cell_length_c 8.4978
_cell_angle_alpha 65.87
_cell_angle_beta 80.35
_cell_angle_gamma 65.80
loop_
_symmetry_equiv_pos_as_xyz
'x,y,z'
loop_
_atom_site_label
_atom_site_fract_x
_atom_site_fract_y
_atom_site_fract_z
K1 0.5000 0.2118 0.5764
K2 0.0000 0.6275 0.7450
K3 0.0000 0.3725 0.2550
K4 0.5000 0.5000 0.0000
K5 0.5000 0.7882 0.4236
Tl1 0.6957 0.9293 0.0000
Tl2 0.8182 0.9627 0.3084
Tl3 0.1818 0.7289 0.3084
Tl4 0.1818 0.0373 0.6916
Tl5 0.8182 0.2711 0.6916
Tl6 0.3043 0.0707 0.0000
Pt1 0.0000 0.0000 0.0000
```

Results
The value obtained for the spin magnetization is 0.00 Bohr magnetons per cell. Its space group is No. 12. The calculation puts the total energy at -2.21 eV per atom. For the formation energy, the calculation gives -0.070 eV per atom.